The following is a PBE-GGA calculation of NpAlPd6 after structural relaxation, from Alexandria. Values from VASP.

The structure in Quantum ESPRESSO input format:
```
&SYSTEM
  ibrav = 0, nat = 8, ntyp = 3
/
ATOMIC_SPECIES
Np 237.00 Np.upf
Al 26.98 Al.upf
Pd 106.42 Pd.upf
CELL_PARAMETERS angstrom
4.0519 0.0000 0.0000
0.0000 4.0519 0.0000
0.0000 0.0000 7.9658
ATOMIC_POSITIONS crystal
Np 0.0000 0.0000 0.0000
Al 0.0000 0.0000 0.5000
Pd 0.0000 0.5000 0.2642
Pd 0.0000 0.5000 0.7358
Pd 0.5000 0.0000 0.2642
Pd 0.5000 0.0000 0.7358
Pd 0.5000 0.5000 0.0000
Pd 0.5000 0.5000 0.5000
```

## Properties
Energy of formation, eV/atom: -0.5252
Crystal system: tetragonal

---

The following is a PBE-GGA calculation of NpAlPd14 after structural relaxation, from Alexandria. Values from VASP.

The structure in Quantum ESPRESSO input format:
```
&SYSTEM
  ibrav = 0, nat = 16, ntyp = 3
/
ATOMIC_SPECIES
Np 237.00 Np.upf
Al 26.98 Al.upf
Pd 106.42 Pd.upf
CELL_PARAMETERS angstrom
5.7241 0.0000 0.0000
0.0000 5.7241 0.0000
0.0000 0.0000 7.7278
ATOMIC_POSITIONS crystal
Np 0.0000 0.0000 0.0000
Al 0.5000 0.5000 0.0000
Pd 0.0000 0.0000 0.5000
Pd 0.0000 0.5000 0.0000
Pd 0.0000 0.5000 0.5000
Pd 0.2536 0.2536 0.2466
Pd 0.2536 0.2536 0.7534
Pd 0.2536 0.7464 0.2466
Pd 0.2536 0.7464 0.7534
Pd 0.5000 0.0000 0.0000
Pd 0.5000 0.0000 0.5000
Pd 0.5000 0.5000 0.5000
Pd 0.7464 0.2536 0.2466
Pd 0.7464 0.2536 0.7534
Pd 0.7464 0.7464 0.2466
Pd 0.7464 0.7464 0.7534
```

## Properties
Energy of formation, eV/atom: -0.2782
Crystal system: tetragonal

---

The following is a PBE-GGA calculation of NpAl3Pd12 after structural relaxation, from Alexandria. Values from VASP.

The structure in Quantum ESPRESSO input format:
```
&SYSTEM
  ibrav = 0, nat = 16, ntyp = 3
/
ATOMIC_SPECIES
Np 237.00 Np.upf
Al 26.98 Al.upf
Pd 106.42 Pd.upf
CELL_PARAMETERS angstrom
3.9965 0.0000 0.0000
0.0000 3.9965 0.0000
0.0000 0.0000 15.6501
ATOMIC_POSITIONS crystal
Np 0.0000 0.0000 0.0000
Al 0.0000 0.0000 0.2632
Al 0.0000 0.0000 0.5000
Al 0.0000 0.0000 0.7368
Pd 0.0000 0.5000 0.1341
Pd 0.0000 0.5000 0.3790
Pd 0.0000 0.5000 0.6210
Pd 0.0000 0.5000 0.8659
Pd 0.5000 0.0000 0.1341
Pd 0.5000 0.0000 0.3790
Pd 0.5000 0.0000 0.6210
Pd 0.5000 0.0000 0.8659
Pd 0.5000 0.5000 0.0000
Pd 0.5000 0.5000 0.2566
Pd 0.5000 0.5000 0.5000
Pd 0.5000 0.5000 0.7434
```

## Properties
Energy of formation, eV/atom: -0.5588
Crystal system: tetragonal

---

The following is a PBE-GGA calculation of NpAlPd after structural relaxation, from Alexandria. Values from VASP.

The structure in Quantum ESPRESSO input format:
```
&SYSTEM
  ibrav = 0, nat = 6, ntyp = 3
/
ATOMIC_SPECIES
Np 237.00 Np.upf
Al 26.98 Al.upf
Pd 106.42 Pd.upf
CELL_PARAMETERS angstrom
4.6653 -1.5053 0.0000
4.6653 1.5053 0.0000
-2.6455 0.0000 7.3299
ATOMIC_POSITIONS crystal
Np 0.1433 0.1433 0.0461
Np 0.8567 0.8567 0.9539
Al 0.4754 0.4754 0.6790
Al 0.5246 0.5246 0.3210
Pd 0.1710 0.1710 0.6042
Pd 0.8290 0.8290 0.3958
```

## Properties
Energy of formation, eV/atom: -0.3929
Crystal system: monoclinic

---

The following is a PBE-GGA calculation of Np2Al6Pd after structural relaxation, from Alexandria. Values from VASP.

The structure in Quantum ESPRESSO input format:
```
&SYSTEM
  ibrav = 0, nat = 9, ntyp = 3
/
ATOMIC_SPECIES
Np 237.00 Np.upf
Al 26.98 Al.upf
Pd 106.42 Pd.upf
CELL_PARAMETERS angstrom
8.3370 0.0000 0.0000
-4.1685 7.2200 0.0000
0.0000 0.0000 2.7817
ATOMIC_POSITIONS crystal
Np 0.3333 0.6667 0.0000
Np 0.6667 0.3333 0.0000
Al 0.0000 0.2682 0.0000
Al 0.0000 0.6698 0.5000
Al 0.2682 0.0000 0.0000
Al 0.3302 0.3302 0.5000
Al 0.6698 0.0000 0.5000
Al 0.7318 0.7318 0.0000
Pd 0.0000 0.0000 0.5000
```

## Properties
Energy of formation, eV/atom: -0.0892
Crystal system: hexagonal

---

The following is a PBE-GGA calculation of NpAl11Pd after structural relaxation, from Alexandria. Values from VASP.

The structure in Quantum ESPRESSO input format:
```
&SYSTEM
  ibrav = 0, nat = 13, ntyp = 3
/
ATOMIC_SPECIES
Np 237.00 Np.upf
Al 26.98 Al.upf
Pd 106.42 Pd.upf
CELL_PARAMETERS angstrom
2.6087 -6.3232 0.0000
2.6087 6.3232 0.0000
-2.3806 0.0000 6.7210
ATOMIC_POSITIONS crystal
Np 0.0000 0.0000 0.0000
Al 0.0000 0.0000 0.5000
Al 0.0000 0.5000 0.0000
Al 0.0042 0.6507 0.6471
Al 0.2880 0.5016 0.7824
Al 0.3493 0.9958 0.3529
Al 0.4984 0.7120 0.2176
Al 0.5000 0.0000 0.0000
Al 0.5016 0.2880 0.7824
Al 0.6507 0.0042 0.6471
Al 0.7120 0.4984 0.2176
Al 0.9958 0.3493 0.3529
Pd 0.5000 0.5000 0.5000
```

## Properties
Energy of formation, eV/atom: -0.1651
Crystal system: monoclinic